Compound: Ac4Pd7Pt6
Source: the Alexandria database
Functional: PBE
Structure: relaxed

a b c (Å): 7.6590 7.6590 7.6590
angles (deg): 109.47 109.47 109.47
With the nearest neighbours (Å) after each atom.
Element x y z (fractional)
Pt (0.6972, 0.6972, 0.0000)  5 Pd 2.68-2.82
Pt (0.3028, 0.0000, 0.3028)  5 Pd 2.68-2.82
Ac (0.5000, 0.0000, 0.0000)  6 Pd 3.13, 6 Pt 3.16
Pd (0.5000, 0.7500, 0.2500)  4 Pt 2.82, 4 Ac 3.13, 4 Pd 3.13
Pt (0.6972, 0.0000, 0.6972)  5 Pd 2.68-2.82
Pd (0.5000, 0.2500, 0.7500)  4 Pt 2.82, 4 Ac 3.13, 4 Pd 3.13
Pt (0.0000, 0.3028, 0.3028)  5 Pd 2.68-2.82
Ac (0.0000, 0.0000, 0.5000)  6 Pd 3.13, 6 Pt 3.16
Pd (0.2500, 0.5000, 0.7500)  4 Pt 2.82, 4 Pd 3.13, 4 Ac 3.13
Pd (0.7500, 0.2500, 0.5000)  4 Pt 2.82, 4 Pd 3.13, 4 Ac 3.13
Pd (0.0000, 0.0000, 0.0000)  6 Pt 2.68
Pt (0.3028, 0.3028, 0.0000)  5 Pd 2.68-2.82
Pt (0.0000, 0.6972, 0.6972)  5 Pd 2.68-2.82
Ac (0.0000, 0.5000, 0.0000)  6 Pd 3.13, 6 Pt 3.16
Pd (0.2500, 0.7500, 0.5000)  4 Pt 2.82, 4 Pd 3.13, 4 Ac 3.13
Ac (0.5000, 0.5000, 0.5000)  6 Pd 3.13, 6 Pt 3.16
Pd (0.7500, 0.5000, 0.2500)  4 Pt 2.82, 4 Pd 3.13, 4 Ac 3.13

## Properties
Magnetization ... 0.00 Bohr magnetons per cell
DFT formation energy ... -0.7758 eV/atom